Arrangement P

Li7ZnAu4 | PBE-GGA | optimized geometry

Total moment in μB/cell: 0.0

a b c (Å): 4.969 5.570 7.384
angles (deg): 78.60 70.89 89.60
Space group P-1 (No. 2)
Symmetry-distinct sites (fractional):
Li 0.000 0.000 0.000 [1 per cell]
Li 0.169 0.414 0.348 [2 per cell]
Li 0.329 0.846 0.649 [2 per cell]
Li 0.499 0.247 0.996 [2 per cell]
Zn 0.000 0.500 0.000 [1 per cell]
Au 0.180 0.932 0.317 [2 per cell]
Au 0.322 0.351 0.688 [2 per cell]

***

Arrangement Q

Li7ZnAu4 | PBE-GGA | optimized geometry

Total moment in μB/cell: 0.0

a b c (Å): 13.043 4.702 7.948
angles (deg): 90.00 124.18 90.00
Space group C2/m (No. 12)
Symmetry-distinct sites (fractional):
Li 0.000 0.000 0.000 [2 per cell]
Li 0.071 0.500 0.406 [4 per cell]
Li 0.211 0.500 0.875 [4 per cell]
Li 0.244 0.500 0.274 [4 per cell]
Zn 0.000 0.500 0.000 [2 per cell]
Au 0.063 0.000 0.730 [4 per cell]
Au 0.186 0.000 0.355 [4 per cell]

***

Relative to the most stable one, in meV/atom, the structures come out at arrangement P 0; arrangement Q 107.

***

Arrangement P

Li5Zn2Au2 | PBE-GGA | optimized geometry

Total moment in μB/cell: 0.0

a b c (Å): 12.956 6.827 6.916
angles (deg): 90.00 90.00 90.00
Space group Cmce (No. 64)
Symmetry-distinct sites (fractional):
Li 0.000 0.000 0.000 [4 per cell]
Li 0.144 0.181 0.323 [16 per cell]
Zn 0.000 0.128 0.629 [8 per cell]
Au 0.204 0.000 0.000 [8 per cell]

***

Arrangement Q

Li5Zn2Au2 | PBE-GGA | optimized geometry

Total moment in μB/cell: 0.0

a b c (Å): 8.299 4.025 9.189
angles (deg): 90.00 101.38 90.00
Space group C2/m (No. 12)
Symmetry-distinct sites (fractional):
Li 0.000 0.000 0.000 [2 per cell]
Li 0.165 0.000 0.596 [4 per cell]
Li 0.207 0.500 0.100 [4 per cell]
Zn 0.124 0.000 0.286 [4 per cell]
Au 0.084 0.500 0.794 [4 per cell]

***

Relative to the most stable one, in meV/atom, the structures come out at arrangement P 80; arrangement Q 0.

***

Arrangement P

LiZn2Au3 | PBE-GGA | optimized geometry

Total moment in μB/cell: 0.0

a b c (Å): 4.395 13.189 6.567
angles (deg): 90.00 90.00 90.00
Space group Cmmm (No. 65)
Symmetry-distinct sites (fractional):
Li 0.000 0.164 0.000 [4 per cell]
Zn 0.000 0.169 0.500 [4 per cell]
Zn 0.000 0.500 0.000 [2 per cell]
Zn 0.000 0.500 0.500 [2 per cell]
Au 0.000 0.000 0.252 [4 per cell]
Au 0.000 0.332 0.243 [8 per cell]

***

Arrangement Q

LiZn2Au3 | PBE-GGA | optimized geometry

Total moment in μB/cell: 0.0

a b c (Å): 16.688 4.281 5.746
angles (deg): 90.00 96.88 90.00
Space group C2/m (No. 12)
Symmetry-distinct sites (fractional):
Li 0.142 0.000 0.244 [4 per cell]
Zn 0.025 0.500 0.274 [4 per cell]
Zn 0.222 0.000 0.827 [4 per cell]
Au 0.068 0.000 0.657 [4 per cell]
Au 0.130 0.500 0.969 [4 per cell]
Au 0.184 0.500 0.508 [4 per cell]

***

Relative to the most stable one, in meV/atom, the structures come out at arrangement P 0; arrangement Q 47.

***

Arrangement P

Li3ZnAu6 | PBE-GGA | optimized geometry

Total moment in μB/cell: 0.0

a b c (Å): 7.527 4.710 9.804
angles (deg): 90.00 109.99 90.00
Space group P2_1/m (No. 11)
Symmetry-distinct sites (fractional):
Li 0.096 0.250 0.225 [2 per cell]
Li 0.299 0.250 0.023 [2 per cell]
Li 0.322 0.750 0.371 [2 per cell]
Zn 0.110 0.750 0.575 [2 per cell]
Au 0.070 0.250 0.717 [2 per cell]
Au 0.103 0.750 0.073 [2 per cell]
Au 0.277 0.250 0.516 [2 per cell]
Au 0.291 0.750 0.865 [2 per cell]
Au 0.493 0.250 0.333 [2 per cell]
Au 0.497 0.250 0.833 [2 per cell]

***

Arrangement Q

Li3ZnAu6 | PBE-GGA | optimized geometry

Total moment in μB/cell: 0.0

a b c (Å): 10.127 13.303 5.182
angles (deg): 90.00 90.00 90.00
Space group Cmc2_1 (No. 36)
Symmetry-distinct sites (fractional):
Li 0.000 0.128 0.000 [4 per cell]
Li 0.194 0.405 0.366 [8 per cell]
Zn 0.000 0.332 0.024 [4 per cell]
Au 0.000 0.252 0.489 [4 per cell]
Au 0.000 0.472 0.674 [4 per cell]
Au 0.138 0.047 0.487 [8 per cell]
Au 0.227 0.285 0.807 [8 per cell]

***

Relative to the most stable one, in meV/atom, the structures come out at arrangement P 0; arrangement Q 92.

***

Arrangement P

LiZn3Au6 | PBE-GGA | optimized geometry

Total moment in μB/cell: 0.0

a b c (Å): 8.712 4.165 9.194
angles (deg): 90.00 94.92 90.00
Space group P2_1/m (No. 11)
Symmetry-distinct sites (fractional):
Li 0.053 0.250 0.395 [2 per cell]
Zn 0.245 0.250 0.021 [2 per cell]
Zn 0.349 0.750 0.807 [2 per cell]
Zn 0.447 0.250 0.604 [2 per cell]
Au 0.066 0.750 0.903 [2 per cell]
Au 0.150 0.750 0.212 [2 per cell]
Au 0.159 0.250 0.703 [2 per cell]
Au 0.254 0.750 0.513 [2 per cell]
Au 0.368 0.250 0.314 [2 per cell]
Au 0.462 0.750 0.101 [2 per cell]

***

Arrangement Q

LiZn3Au6 | PBE-GGA | optimized geometry

Total moment in μB/cell: 0.0

a b c (Å): 9.132 13.138 6.066
angles (deg): 90.00 90.00 90.00
Space group Cmc2_1 (No. 36)
Symmetry-distinct sites (fractional):
Li 0.000 0.181 0.000 [4 per cell]
Zn 0.000 0.416 0.795 [4 per cell]
Zn 0.212 0.082 0.518 [8 per cell]
Au 0.000 0.001 0.770 [4 per cell]
Au 0.000 0.217 0.447 [4 per cell]
Au 0.157 0.417 0.399 [8 per cell]
Au 0.218 0.272 0.746 [8 per cell]

***

Relative to the most stable one, in meV/atom, the structures come out at arrangement P 0; arrangement Q 63.

***

Arrangement P

LiZn6Au | PBE-GGA | optimized geometry

Total moment in μB/cell: 0.0

a b c (Å): 4.384 5.599 9.741
angles (deg): 90.00 90.00 90.00
Space group Amm2 (No. 38)
Symmetry-distinct sites (fractional):
Li 0.000 0.000 0.000 [2 per cell]
Zn 0.000 0.241 0.751 [4 per cell]
Zn 0.500 0.000 0.327 [2 per cell]
Zn 0.500 0.000 0.838 [2 per cell]
Zn 0.500 0.241 0.082 [4 per cell]
Au 0.000 0.000 0.499 [2 per cell]

***

Arrangement Q

LiZn6Au | PBE-GGA | optimized geometry

Total moment in μB/cell: 0.0

a b c (Å): 5.009 5.009 5.009
angles (deg): 90.00 90.00 90.00
Space group Pm-3 (No. 200)
Symmetry-distinct sites (fractional):
Li 0.000 0.000 0.000 [1 per cell]
Zn 0.000 0.247 0.500 [6 per cell]
Au 0.500 0.500 0.500 [1 per cell]

***

Relative to the most stable one, in meV/atom, the structures come out at arrangement P 0; arrangement Q 103.

***

Arrangement P

Li3Zn2Au2 | PBE-GGA | optimized geometry

Total moment in μB/cell: 0.0

a b c (Å): 8.396 4.021 6.448
angles (deg): 90.00 101.35 90.00
Space group C2/m (No. 12)
Symmetry-distinct sites (fractional):
Li 0.000 0.000 0.000 [2 per cell]
Li 0.141 0.000 0.436 [4 per cell]
Zn 0.214 0.500 0.142 [4 per cell]
Au 0.075 0.500 0.725 [4 per cell]

***

Arrangement Q

Li3Zn2Au2 | PBE-GGA | optimized geometry

Total moment in μB/cell: 0.0

a b c (Å): 7.654 4.378 6.850
angles (deg): 90.00 111.06 90.00
Space group C2/m (No. 12)
Symmetry-distinct sites (fractional):
Li 0.000 0.000 0.000 [2 per cell]
Li 0.144 0.000 0.433 [4 per cell]
Zn 0.216 0.500 0.148 [4 per cell]
Au 0.075 0.500 0.727 [4 per cell]

***

Relative to the most stable one, in meV/atom, the structures come out at arrangement P 0; arrangement Q 7.

***

Arrangement P

Li2ZrAu | PBE-GGA | optimized geometry

Total moment in μB/cell: 0.0

a b c (Å): 9.956 2.953 5.063
angles (deg): 90.00 101.36 90.00
Space group C2/m (No. 12)
Symmetry-distinct sites (fractional):
Li 0.234 0.000 0.218 [4 per cell]
Zr 0.000 0.000 0.500 [2 per cell]
Au 0.000 0.500 0.000 [2 per cell]

***

Arrangement Q

Li2ZrAu | PBE-GGA | optimized geometry

Total moment in μB/cell: 0.0

a b c (Å): 3.661 4.409 9.068
angles (deg): 90.00 90.00 90.00
Space group Cmmm (No. 65)
Symmetry-distinct sites (fractional):
Li 0.000 0.000 0.210 [4 per cell]
Zr 0.000 0.500 0.500 [2 per cell]
Au 0.000 0.500 0.000 [2 per cell]

***

Relative to the most stable one, in meV/atom, the structures come out at arrangement P 0; arrangement Q 56.

***

Arrangement P

Li2ZrAu2 | PBE-GGA | optimized geometry

Total moment in μB/cell: 0.0

a b c (Å): 7.620 7.620 2.850
angles (deg): 90.00 90.00 90.00
Space group P4/mbm (No. 127)
Symmetry-distinct sites (fractional):
Li 0.112 0.388 0.000 [4 per cell]
Zr 0.000 0.000 0.000 [2 per cell]
Au 0.186 0.686 0.500 [4 per cell]

***

Arrangement Q

Li2ZrAu2 | PBE-GGA | optimized geometry

Total moment in μB/cell: 0.0

a b c (Å): 7.300 7.300 3.390
angles (deg): 90.00 90.00 90.00
Space group P4/mbm (No. 127)
Symmetry-distinct sites (fractional):
Li 0.153 0.347 0.000 [4 per cell]
Zr 0.000 0.000 0.500 [2 per cell]
Au 0.141 0.641 0.500 [4 per cell]

***

Relative to the most stable one, in meV/atom, the structures come out at arrangement P 0; arrangement Q 146.

***

Arrangement P

LiZrAu4 | PBE-GGA | optimized geometry

Total moment in μB/cell: 0.0

a b c (Å): 9.482 3.550 6.906
angles (deg): 90.00 110.64 90.00
Space group C2/m (No. 12)
Symmetry-distinct sites (fractional):
Li 0.000 0.000 0.000 [2 per cell]
Zr 0.000 0.000 0.500 [2 per cell]
Au 0.157 0.500 0.840 [4 per cell]
Au 0.165 0.500 0.322 [4 per cell]

***

Arrangement Q

LiZrAu4 | PBE-GGA | optimized geometry

Total moment in μB/cell: 0.0

a b c (Å): 4.348 4.348 6.519
angles (deg): 90.00 90.00 90.00
Space group P4/mmm (No. 123)
Symmetry-distinct sites (fractional):
Li 0.000 0.000 0.000 [1 per cell]
Zr 0.500 0.500 0.500 [1 per cell]
Au 0.000 0.500 0.226 [4 per cell]

***

Relative to the most stable one, in meV/atom, the structures come out at arrangement P 0; arrangement Q 218.

***

Arrangement P

LiZrAu2 | PBE-GGA | optimized geometry

Total moment in μB/cell: 0.0

a b c (Å): 6.632 6.632 6.632
angles (deg): 90.00 90.00 90.00
Space group Fm-3m (No. 225)
Symmetry-distinct sites (fractional):
Li 0.000 0.000 0.000 [4 per cell]
Zr 0.000 0.000 0.500 [4 per cell]
Au 0.250 0.250 0.250 [8 per cell]

***

Arrangement Q

LiZrAu2 | PBE-GGA | optimized geometry

Total moment in μB/cell: 0.0

a b c (Å): 9.698 3.294 4.772
angles (deg): 90.00 100.95 90.00
Space group Cm (No. 8)
Symmetry-distinct sites (fractional):
Li 0.000 0.000 0.000 [2 per cell]
Zr 0.227 0.000 0.647 [2 per cell]
Au 0.243 0.500 0.146 [2 per cell]
Au 0.488 0.000 0.468 [2 per cell]

***

Relative to the most stable one, in meV/atom, the structures come out at arrangement P 0; arrangement Q 98.